[1]
# Y2ZrVTc

A geometry-optimized Y2ZrVTc structure (PBE, the Alexandria database).

Lattice parameters (Å, degrees): 5.303 4.943 5.303 90.00 90.00 90.00
Sites, in units of the cell vectors:
Y  0.000  0.000  0.500
Y  0.500  0.000  0.000
Tc  0.000  0.000  0.000
Zr  0.000  0.500  0.000
V  0.500  0.500  0.500

## Properties
* energy of formation: 81.8 kJ/mol of atoms

---

[2]
# K2BaNbO4

A geometry-optimized K2BaNbO4 structure (PBE, the Alexandria database).

Lattice parameters (Å, degrees): 5.641 5.641 7.355 112.58 112.58 90.00
Sites, in units of the cell vectors:
K  0.750  0.250  0.500
K  0.250  0.750  0.500
Ba  0.000  0.000  0.000
Nb  0.500  0.500  0.000
O  0.607  0.607  0.825
O  0.393  0.782  0.175
O  0.782  0.393  0.175
O  0.218  0.218  0.825

## Properties
* uncorrected energy: -6.399 eV per atom

---

[3]
# GdDyAgPb

A geometry-optimized GdDyAgPb structure (PBE, the Alexandria database).

Lattice parameters (Å, degrees): 5.305 5.305 5.305 60.00 60.00 60.00
Sites, in units of the cell vectors:
Pb  0.750  0.750  0.750
Gd  0.500  0.500  0.500
Ag  0.250  0.250  0.250
Dy  0.000  0.000  0.000

## Properties
* energy of formation: -40.2 kJ/mol of atoms

---

[4]
# HOs2Rh

A geometry-optimized HOs2Rh structure (PBE, the Alexandria database).

Lattice parameters (Å, degrees): 6.092 6.092 5.000 52.47 52.47 90.00
Sites, in units of the cell vectors:
Rh  0.000  0.000  0.000
Rh  0.750  0.250  0.500
Os  0.528  0.125  0.250
Os  0.222  0.625  0.250
Os  0.375  0.472  0.750
Os  0.875  0.778  0.750
H  0.500  0.500  0.000
H  0.250  0.750  0.500

## Properties
* energy above the most stable polymorph in this dataset: 0.0 meV per atom

---

[5]
# Dy2CdInPd4

A geometry-optimized Dy2CdInPd4 structure (PBE, the Alexandria database).

Lattice parameters (Å, degrees): 4.782 4.782 8.355 73.37 73.37 60.00
Sites, in units of the cell vectors:
Dy  0.749  0.749  0.754
Dy  0.251  0.251  0.246
Cd  0.000  0.000  0.000
In  0.500  0.500  0.500
Pd  0.376  0.376  0.871
Pd  0.873  0.873  0.380
Pd  0.127  0.127  0.620
Pd  0.624  0.624  0.129

## Properties
* energy of formation: -74.6 kJ/mol of atoms

---

[6]
# Pm11Y9Tm4

A geometry-optimized Pm11Y9Tm4 structure (PBE, the Alexandria database).

Lattice parameters (Å, degrees): 3.652 15.406 15.406 113.17 90.00 90.00
Sites, in units of the cell vectors:
Pm  0.000  0.594  0.956
Pm  0.000  0.406  0.044
Pm  0.000  0.956  0.594
Pm  0.000  0.044  0.406
Pm  0.000  0.631  0.369
Pm  0.000  0.369  0.631
Pm  0.000  0.839  0.161
Pm  0.000  0.161  0.839
Pm  0.000  0.000  0.000
Pm  0.000  0.706  0.706
Pm  0.000  0.294  0.294
Y  0.500  0.630  0.165
Y  0.500  0.370  0.835
Y  0.500  0.165  0.630
Y  0.500  0.835  0.370
Y  0.500  0.785  0.931
Y  0.500  0.215  0.069
Y  0.500  0.931  0.785
Y  0.500  0.069  0.215
Y  0.500  0.500  0.500
Tm  0.500  0.555  0.758
Tm  0.500  0.445  0.242
Tm  0.500  0.758  0.555
Tm  0.500  0.242  0.445

## Properties
* energy of formation: 4.4 kJ/mol of atoms

---

[7]
# RePt2Se

A geometry-optimized RePt2Se structure (PBE, the Alexandria database).

Lattice parameters (Å, degrees): 2.887 4.667 4.773 90.00 90.00 90.00
Sites, in units of the cell vectors:
Pt  0.000  0.000  0.000
Pt  0.500  0.500  0.000
Re  0.500  0.000  0.500
Se  0.000  0.500  0.500

## Properties
* uncorrected energy: -6.534 eV per atom

---

[8]
# KLaFe

A geometry-optimized KLaFe structure (PBE, the Alexandria database).

Lattice parameters (Å, degrees): 7.875 7.875 7.875 152.51 152.51 39.26
Sites, in units of the cell vectors:
Fe  0.033  0.033  0.000
K  0.358  0.358  0.000
La  0.609  0.609  0.000

## Properties
* energy above the most stable polymorph in this dataset: 2.6 meV per atom
* energy of formation: 58.1 kJ/mol of atoms

---

| no. | calculated volume (Å³ per atom) |
| --- | --- |
| 1 | 27.80 |
| 2 | 24.57 |
| 3 | 26.39 |
| 4 | 11.77 |
| 5 | 19.52 |
| 6 | 33.20 |
| 7 | 16.08 |
| 8 | 34.62 |